No. 1
Computed, not measured: AcPrSm6 after structural relaxation at the PBE level of DFT.

Unit cell a=5.2052 b=5.2052 c=10.4144 alpha=90.00 beta=90.00 gamma=90.00
Element x y z (fractional)
Ac1 0.0000 0.0000 0.0000
Pr1 0.0000 0.0000 0.5000
Sm1 0.5000 0.5000 0.0000
Sm2 0.5000 0.5000 0.5000
Sm3 0.5000 0.0000 0.2551
Sm4 0.5000 0.0000 0.7449
Sm5 0.0000 0.5000 0.2551
Sm6 0.0000 0.5000 0.7449

Computed properties:
Its symmetry is P4/mmm, No. 123. As for the density of states at the Fermi level: 13.03 states/eV/f.u. For the formation energy, the calculation gives 0.027 eV/atom.

=====

No. 2
Computed, not measured: GdYIr4 after structural relaxation at the PBE level of DFT.

Unit cell a=5.3745 b=5.3745 c=5.3745 alpha=60.00 beta=60.00 gamma=60.00
Element x y z (fractional)
Gd1 0.0000 0.0000 0.0000
Y1 0.2500 0.2500 0.2500
Ir1 0.6250 0.6250 0.1251
Ir2 0.6250 0.1251 0.6250
Ir3 0.6250 0.6250 0.6250
Ir4 0.1251 0.6250 0.6250

Computed properties:
Its symmetry is F-43m, No. 216. As for the density of states at the Fermi level: 4.57 states/eV/f.u. For the formation energy, the calculation gives -0.789 eV/atom.

=====

No. 3
Computed, not measured: Dy6Mg23 after structural relaxation at the PBE level of DFT.

Unit cell a=10.0631 b=10.0631 c=10.0631 alpha=60.00 beta=60.00 gamma=60.00
Element x y z (fractional)
Dy1 0.1921 0.8079 0.8079
Dy2 0.8079 0.1921 0.1921
Dy3 0.1921 0.1921 0.8079
Dy4 0.8079 0.8079 0.1921
Dy5 0.1921 0.8079 0.1921
Dy6 0.8079 0.1921 0.8079
Mg1 0.5000 0.5000 0.5000
Mg2 0.5000 0.0000 0.0000
Mg3 0.0000 0.5000 0.5000
Mg4 0.5000 0.5000 0.0000
Mg5 0.0000 0.0000 0.5000
Mg6 0.5000 0.0000 0.5000
Mg7 0.0000 0.5000 0.0000
Mg8 0.1401 0.6200 0.6200
Mg9 0.6200 0.6200 0.1401
Mg10 0.6200 0.1401 0.6200
Mg11 0.6200 0.6200 0.6200
Mg12 0.3800 0.3800 0.8599
Mg13 0.8599 0.3800 0.3800
Mg14 0.3800 0.8599 0.3800
Mg15 0.3800 0.3800 0.3800
Mg16 0.5052 0.8316 0.8316
Mg17 0.8316 0.8316 0.5052
Mg18 0.8316 0.5052 0.8316
Mg19 0.8316 0.8316 0.8316
Mg20 0.1684 0.1684 0.4948
Mg21 0.4948 0.1684 0.1684
Mg22 0.1684 0.4948 0.1684
Mg23 0.1684 0.1684 0.1684

Computed properties:
Its symmetry is Fm-3m, No. 225. As for the density of states at the Fermi level: 23.96 states/eV/f.u. For the formation energy, the calculation gives -0.042 eV/atom.

=====

No. 4
Computed, not measured: Er5Tm3Bi8 after structural relaxation at the PBE level of DFT.

Unit cell a=8.8797 b=8.8797 c=8.8797 alpha=59.99 beta=59.99 gamma=59.99
Element x y z (fractional)
Er1 0.5000 0.5000 0.0000
Er2 0.5000 0.0000 0.5000
Er3 0.0000 0.0000 0.0000
Er4 0.0000 0.5000 0.5000
Er5 0.5000 0.5000 0.5000
Tm1 0.5000 0.0000 0.0000
Tm2 0.0000 0.5000 0.0000
Tm3 0.0000 0.0000 0.5000
Bi1 0.7500 0.2492 0.7500
Bi2 0.7500 0.7500 0.2492
Bi3 0.2492 0.7500 0.7500
Bi4 0.2496 0.2496 0.2496
Bi5 0.2500 0.7508 0.2500
Bi6 0.2500 0.2500 0.7508
Bi7 0.7508 0.2500 0.2500
Bi8 0.7504 0.7504 0.7504

Computed properties:
Its symmetry is R-3m, No. 166. As for the density of states at the Fermi level: 3.33 states/eV/f.u. For the formation energy, the calculation gives -0.800 eV/atom.

=====

- Which value of formation energy does entry 3 give?
  -0.042 eV/atom

=====

What did the first record say?
Computed, not measured: AcPrSm6 after structural relaxation at the PBE level of DFT.

Unit cell a=5.2052 b=5.2052 c=10.4144 alpha=90.00 beta=90.00 gamma=90.00
Element x y z (fractional)
Ac1 0.0000 0.0000 0.0000
Pr1 0.0000 0.0000 0.5000
Sm1 0.5000 0.5000 0.0000
Sm2 0.5000 0.5000 0.5000
Sm3 0.5000 0.0000 0.2551
Sm4 0.5000 0.0000 0.7449
Sm5 0.0000 0.5000 0.2551
Sm6 0.0000 0.5000 0.7449

Computed properties:
Its symmetry is P4/mmm, No. 123. As for the density of states at the Fermi level: 13.03 states/eV/f.u. For the formation energy, the calculation gives 0.027 eV/atom.

=====

- Which value of formation energy does entry 1 give?
  0.027 eV/atom